Below is Rb3AuBrF after structural relaxation, with properties calculated at the PBE-GGA level.

Values from the calculation:
total magnetic moment: 0.000 μB/atom
electronic total energy: -3.13 eV per atom
formation energy from raw total energies: -1.508 eV/atom

Cell lengths 4.8502, 10.2519, 10.7612 Å; angles 98.32, 90.00, 90.00 degrees
Last column: nearest neighbours and their distance in Å.
Element x y z (fractional)
Rb1 0.7500 0.8901 0.1590  1 F 2.60
Rb2 0.2500 0.1099 0.8410  1 F 2.60
Rb3 0.2500 0.8435 0.4896  3 F 2.69-2.70
Rb4 0.7500 0.1565 0.5104  3 F 2.69-2.70
Rb5 0.7500 0.4045 0.1528  3 Br 3.41-3.42, 2 Au 3.52
Rb6 0.2500 0.5955 0.8472  3 Br 3.41-3.42, 2 Au 3.52
Au1 0.2500 0.1656 0.1949  5 Rb 3.52-3.77
Au2 0.7500 0.8344 0.8051  5 Rb 3.52-3.77
Br1 0.2500 0.6418 0.1677  6 Rb 3.41-3.77
Br2 0.7500 0.3582 0.8323  6 Rb 3.41-3.77
F1 0.2500 0.0970 0.5976  4 Rb 2.60-2.70
F2 0.7500 0.9030 0.4024  4 Rb 2.60-2.70

---

Below is AuSe2BrF after structural relaxation, with properties calculated at the PBE-GGA level.

Values from the calculation:
relative energy among the computed polymorphs: 28 meV/atom
total magnetic moment: 0.648 μB/atom
electronic total energy: -2.31 eV per atom
formation energy from raw total energies: 0.447 eV/atom

Cell lengths 5.1825, 5.1825, 5.2169 Å; angles 90.00, 90.00, 90.00 degrees
Last column: nearest neighbours and their distance in Å.
Element x y z (fractional)
Au1 0.0000 0.0000 0.0000  4 Se 2.59, 2 Br 2.61
Se1 0.0000 0.5000 0.0000  2 Au 2.59
Se2 0.5000 0.0000 0.0000  2 Au 2.59
Br1 0.0000 0.0000 0.5000  2 Au 2.61
F1 0.5000 0.5000 0.5000  4 Br 3.66, 8 Se 3.68

---

Below is AuSe2BrF after structural relaxation, with properties calculated at the PBE-GGA level.

Values from the calculation:
relative energy among the computed polymorphs: 0 meV/atom
total magnetic moment: 0.000 μB/atom
electronic total energy: -2.34 eV per atom
formation energy from raw total energies: 0.420 eV/atom

Cell lengths 4.2526, 4.2526, 7.3466 Å; angles 90.00, 90.00, 90.00 degrees
Last column: nearest neighbours and their distance in Å.
Element x y z (fractional)
Au1 0.5000 0.5000 0.5000  4 Br 3.01
Se1 0.0000 0.5000 0.0000  2 F 2.13
Se2 0.5000 0.0000 0.0000  2 F 2.13
Br1 0.0000 0.0000 0.5000  4 Au 3.01
F1 0.0000 0.0000 0.0000  4 Se 2.13